# 1
DFT (PBE-GGA) results for crystalline CaTlPt4 at its relaxed geometry.

## Properties
**Energy of formation from the pure elements**: -343 kJ/mol of formula units
**Space-group type**: F-43m (216)

a = 5.4432 Å, b = 5.4432 Å, c = 5.4432 Å
α = 60.00°, β = 60.00°, γ = 60.00°
Closest atoms and distances in Å follow each position.
Fractional positions:
1 Ca 0.0000 0.0000 0.0000  12 Pt 3.19, 4 Tl 3.33
2 Tl 0.2500 0.2500 0.2500  12 Pt 3.19, 4 Ca 3.33
3 Pt 0.1258 0.6247 0.6247  6 Pt 2.72-2.73
4 Pt 0.6247 0.1258 0.6247  6 Pt 2.72-2.73
5 Pt 0.6247 0.6247 0.1258  6 Pt 2.72-2.73
6 Pt 0.6247 0.6247 0.6247  6 Pt 2.72-2.73

***

# 2
DFT (PBE-GGA) results for crystalline LiCuP3O9 at its relaxed geometry.

## Properties
**E above lowest polymorph**: 0.03 eV/f.u.
**E_form (uncorrected)**: -2629 kJ/mol of formula units
**Space-group type**: P2_12_12_1 (19)

a = 8.3197 Å, b = 8.4094 Å, c = 9.4986 Å
α = 90.00°, β = 90.00°, γ = 90.00°
Closest atoms and distances in Å follow each position.
Fractional positions:
1 Li 0.1630 0.1070 0.3914  4 O 2.03-2.09
2 Li 0.3370 0.8930 0.8914  4 O 2.03-2.09
3 Li 0.6630 0.3930 0.6086  4 O 2.03-2.09
4 Li 0.8370 0.6070 0.1086  4 O 2.03-2.09
5 Cu 0.1319 0.8557 0.1522  4 O 1.96-2.02
6 Cu 0.3681 0.1443 0.6522  4 O 1.96-2.02
7 Cu 0.6319 0.6443 0.8478  4 O 1.96-2.02
8 Cu 0.8681 0.3557 0.3478  4 O 1.96-2.02
9 P 0.0340 0.3201 0.6850  4 O 1.49-1.62
10 P 0.1744 0.4832 0.1944  4 O 1.51-1.61
11 P 0.2035 0.8132 0.5805  4 O 1.48-1.63
12 P 0.2965 0.1868 0.0805  4 O 1.48-1.63
13 P 0.3256 0.5168 0.6944  4 O 1.51-1.61
14 P 0.4660 0.6799 0.1850  4 O 1.49-1.62
15 P 0.5340 0.1799 0.3150  4 O 1.49-1.62
16 P 0.6744 0.0168 0.8056  4 O 1.51-1.61
17 P 0.7035 0.6868 0.4195  4 O 1.48-1.63
18 P 0.7965 0.3132 0.9195  4 O 1.48-1.63
19 P 0.8256 0.9832 0.3056  4 O 1.51-1.61
20 P 0.9660 0.8201 0.8150  4 O 1.49-1.62
21 O 0.0412 0.7664 0.6671  2 P 1.60-1.63
22 O 0.0824 0.6218 0.1328  1 P 1.51
23 O 0.0943 0.8809 0.9103  1 P 1.49
24 O 0.1016 0.3933 0.3164  1 P 1.51
25 O 0.1387 0.1883 0.6248  1 P 1.52
26 O 0.1513 0.4589 0.7442  2 P 1.60-1.62
27 O 0.1608 0.8690 0.4371  1 P 1.48
28 O 0.1884 0.0851 0.1734  1 P 1.52
29 O 0.2158 0.3621 0.0681  2 P 1.61-1.62
30 O 0.2842 0.6379 0.5681  2 P 1.61-1.62
31 O 0.3116 0.9149 0.6734  1 P 1.52
32 O 0.3392 0.1310 0.9371  1 P 1.48
33 O 0.3487 0.5411 0.2442  2 P 1.60-1.62
34 O 0.3613 0.8117 0.1248  1 P 1.52
35 O 0.3984 0.6067 0.8164  1 P 1.51
36 O 0.4057 0.1191 0.4103  1 P 1.49
37 O 0.4176 0.3782 0.6328  1 P 1.51
38 O 0.4588 0.2336 0.1671  2 P 1.60-1.63
39 O 0.5412 0.7336 0.3329  2 P 1.60-1.63
40 O 0.5824 0.8782 0.8672  1 P 1.51
41 O 0.5943 0.6191 0.0897  1 P 1.49
42 O 0.6016 0.1067 0.6836  1 P 1.51
43 O 0.6387 0.3117 0.3752  1 P 1.52
44 O 0.6513 0.0411 0.2558  2 P 1.60-1.62
45 O 0.6608 0.6310 0.5629  1 P 1.48
46 O 0.6884 0.4149 0.8266  1 P 1.52
47 O 0.7158 0.1379 0.9319  2 P 1.61-1.62
48 O 0.7842 0.8621 0.4319  2 P 1.61-1.62
49 O 0.8116 0.5851 0.3266  1 P 1.52
50 O 0.8392 0.3690 0.0629  1 P 1.48
51 O 0.8487 0.9589 0.7558  2 P 1.60-1.62
52 O 0.8613 0.6883 0.8752  1 P 1.52
53 O 0.8984 0.8933 0.1836  1 P 1.51
54 O 0.9057 0.3809 0.5897  1 P 1.49
55 O 0.9176 0.1218 0.3672  1 P 1.51
56 O 0.9588 0.2664 0.8329  2 P 1.60-1.63

***

# 3
DFT (PBE-GGA) results for crystalline CeCoTc at its relaxed geometry.

## Properties
**E above lowest polymorph**: 0.81 eV/f.u.
**Energy of formation from the pure elements**: 32 kJ/mol of formula units
**Space-group type**: I4mm (107)

a = 6.5556 Å, b = 6.5556 Å, c = 6.5556 Å
α = 155.21°, β = 155.21°, γ = 35.34°
Closest atoms and distances in Å follow each position.
Fractional positions:
1 Ce 0.0000 0.0000 0.0000  4 Ce 2.81, 4 Co 3.01
2 Co 0.6812 0.6812 0.0000  4 Tc 2.48
3 Tc 0.3000 0.3000 0.0000  4 Co 2.48

***

# 4
DFT (PBE-GGA) results for crystalline Er2ScPd at its relaxed geometry.

## Properties
**E above lowest polymorph**: 0.12 eV/f.u.
**Energy of formation from the pure elements**: -161 kJ/mol of formula units
**Space-group type**: P4/mmm (123)

a = 3.5494 Å, b = 3.5494 Å, c = 7.7039 Å
α = 90.00°, β = 90.00°, γ = 90.00°
Closest atoms and distances in Å follow each position.
Fractional positions:
1 Er 0.0000 0.0000 0.2155  4 Pd 3.01, 1 Er 3.32, 4 Sc 3.33
2 Er 0.0000 0.0000 0.7845  4 Pd 3.01, 1 Er 3.32, 4 Sc 3.33
3 Sc 0.5000 0.5000 0.5000  8 Er 3.33, 4 Sc 3.55
4 Pd 0.5000 0.5000 0.0000  8 Er 3.01

***

Copy entry 3 word for word.
DFT (PBE-GGA) results for crystalline CeCoTc at its relaxed geometry.

## Properties
**E above lowest polymorph**: 0.81 eV/f.u.
**Energy of formation from the pure elements**: 32 kJ/mol of formula units
**Space-group type**: I4mm (107)

a = 6.5556 Å, b = 6.5556 Å, c = 6.5556 Å
α = 155.21°, β = 155.21°, γ = 35.34°
Closest atoms and distances in Å follow each position.
Fractional positions:
1 Ce 0.0000 0.0000 0.0000  4 Ce 2.81, 4 Co 3.01
2 Co 0.6812 0.6812 0.0000  4 Tc 2.48
3 Tc 0.3000 0.3000 0.0000  4 Co 2.48

***

Q: Which formula does entry 1 have?
A: CaTlPt4

***

Copy entry 4 word for word.
DFT (PBE-GGA) results for crystalline Er2ScPd at its relaxed geometry.

## Properties
**E above lowest polymorph**: 0.12 eV/f.u.
**Energy of formation from the pure elements**: -161 kJ/mol of formula units
**Space-group type**: P4/mmm (123)

a = 3.5494 Å, b = 3.5494 Å, c = 7.7039 Å
α = 90.00°, β = 90.00°, γ = 90.00°
Closest atoms and distances in Å follow each position.
Fractional positions:
1 Er 0.0000 0.0000 0.2155  4 Pd 3.01, 1 Er 3.32, 4 Sc 3.33
2 Er 0.0000 0.0000 0.7845  4 Pd 3.01, 1 Er 3.32, 4 Sc 3.33
3 Sc 0.5000 0.5000 0.5000  8 Er 3.33, 4 Sc 3.55
4 Pd 0.5000 0.5000 0.0000  8 Er 3.01